Record 1
Density functional theory data (GGA-PBE) for KBe2Tc after structural relaxation.

The structure in CIF format:
```
data_KBe2Tc
_chemical_formula_sum 'K2 Be4 Tc2'
_cell_length_a 8.2215
_cell_length_b 2.6066
_cell_length_c 6.7214
_cell_angle_alpha 90.00
_cell_angle_beta 95.71
_cell_angle_gamma 90.00
_space_group_name_H-M_alt 'C 1 2/m 1'
_space_group_IT_number 12
loop_
_space_group_symop_operation_xyz
'x,y,z'
'-x,-y,-z'
'-x,y,-z'
'x,-y,z'
'x+1/2,y+1/2,z'
'-x+1/2,-y+1/2,-z'
'-x+1/2,y+1/2,-z'
'x+1/2,-y+1/2,z'
loop_
_atom_site_label
_atom_site_type_symbol
_atom_site_fract_x
_atom_site_fract_y
_atom_site_fract_z
K1 K 0.0000 0.0000 0.0000
Be1 Be 0.2378 0.0000 0.6248
Tc1 Tc 0.0000 0.5000 0.5000
```

Summary:
Its size of the total moment is 0.00 Bohr magnetons per cell. Its energy relative to the lowest polymorph listed for this composition is 0.80 eV per formula unit. As for the energy of formation: 0.59 eV/atom. The calculated total energy is -4.138 eV per atom.

Record 2
Density functional theory data (GGA-PBE) for CsCuSi2 after structural relaxation.

The structure in CIF format:
```
data_CsCuSi2
_chemical_formula_sum 'Cs3 Cu3 Si6'
_cell_length_a 4.0123
_cell_length_b 4.0123
_cell_length_c 21.4657
_cell_angle_alpha 90.00
_cell_angle_beta 90.00
_cell_angle_gamma 120.00
_space_group_name_H-M_alt 'R -3 m'
_space_group_IT_number 166
_space_group_name_Hall '-R 3 2"'
loop_
_atom_site_label
_atom_site_type_symbol
_atom_site_fract_x
_atom_site_fract_y
_atom_site_fract_z
Cs1 Cs 0.0000 0.0000 0.0000
Cu1 Cu 0.0000 0.0000 0.5000
Si1 Si 0.0000 0.0000 0.2001
```

Summary:
Its size of the total moment is 0.00 Bohr magnetons per cell. Its energy relative to the lowest polymorph listed for this composition is 0.21 eV per formula unit. Its uncorrected formation energy is 67 meV/atom. The calculated total energy is -3.882 eV per atom.

Record 3
Density functional theory data (GGA-PBE) for CaSm4H10 after structural relaxation.

The structure in CIF format:
```
data_CaSm4H10
_chemical_formula_sum 'Ca3 Sm12 H30'
_cell_length_a 3.7947
_cell_length_b 3.7947
_cell_length_c 46.7757
_cell_angle_alpha 90.00
_cell_angle_beta 90.00
_cell_angle_gamma 120.00
_space_group_name_H-M_alt 'R -3 m'
_space_group_IT_number 166
_space_group_name_Hall '-R 3 2"'
loop_
_atom_site_label
_atom_site_type_symbol
_atom_site_fract_x
_atom_site_fract_y
_atom_site_fract_z
Ca1 Ca 0.0000 0.0000 0.0000
Sm1 Sm 0.0000 0.0000 0.1998
Sm2 Sm 0.0000 0.0000 0.4006
H1 H 0.0000 0.0000 0.0508
H2 H 0.0000 0.0000 0.1503
H3 H 0.0000 0.0000 0.2498
H4 H 0.0000 0.0000 0.3514
H5 H 0.0000 0.0000 0.4505
```

Summary:
Its size of the total moment is 0.00 Bohr magnetons per cell. The calculated total energy is -4.273 eV per atom.

Record 4
Density functional theory data (GGA-PBE) for TbThSn after structural relaxation.

The structure in CIF format:
```
data_TbThSn
_chemical_formula_sum 'Tb2 Th2 Sn2'
_cell_length_a 3.7067
_cell_length_b 3.7067
_cell_length_c 13.2127
_cell_angle_alpha 90.00
_cell_angle_beta 90.00
_cell_angle_gamma 90.00
_space_group_name_H-M_alt 'I 4 m m'
_space_group_IT_number 107
_space_group_name_Hall 'I 4 -2'
loop_
_atom_site_label
_atom_site_type_symbol
_atom_site_fract_x
_atom_site_fract_y
_atom_site_fract_z
Tb1 Tb 0.0000 0.0000 0.0000
Th1 Th 0.0000 0.0000 0.6923
Sn1 Sn 0.0000 0.0000 0.3520
```

Summary:
Its size of the total moment is 0.00 Bohr magnetons per cell. Its energy relative to the lowest polymorph listed for this composition is 0.66 eV per formula unit. As for the energy of formation: -0.30 eV/atom. The calculated total energy is -5.648 eV per atom.

Record 5
Density functional theory data (GGA-PBE) for PrPu3C after structural relaxation.

The structure in CIF format:
```
data_PrPu3C
_chemical_formula_sum 'Pr1 Pu3 C1'
_cell_length_a 4.9630
_cell_length_b 4.9630
_cell_length_c 4.9630
_cell_angle_alpha 90.00
_cell_angle_beta 90.00
_cell_angle_gamma 90.00
_space_group_name_H-M_alt 'P m -3 m'
_space_group_IT_number 221
_space_group_name_Hall '-P 4 2 3'
loop_
_atom_site_label
_atom_site_type_symbol
_atom_site_fract_x
_atom_site_fract_y
_atom_site_fract_z
Pr1 Pr 0.0000 0.0000 0.0000
Pu1 Pu 0.0000 0.5000 0.5000
C1 C 0.5000 0.5000 0.5000
```

Summary:
Its size of the total moment is 16.06 Bohr magnetons per cell. As for the energy of formation: 0.23 eV/atom. The calculated total energy is -11.171 eV per atom.

Record 6
Density functional theory data (GGA-PBE) for Na10B13C7 after structural relaxation.

The structure in CIF format:
```
data_Na10B13C7
_chemical_formula_sum 'Na20 B26 C14'
_cell_length_a 8.5350
_cell_length_b 2.8276
_cell_length_c 25.3549
_cell_angle_alpha 90.00
_cell_angle_beta 90.00
_cell_angle_gamma 90.00
_space_group_name_H-M_alt 'A m m 2'
_space_group_IT_number 38
loop_
_space_group_symop_operation_xyz
'x,y,z'
'-x,-y,z'
'-x,y,z'
'x,-y,z'
'x,y+1/2,z+1/2'
'-x,-y+1/2,z+1/2'
'-x,y+1/2,z+1/2'
'x,-y+1/2,z+1/2'
loop_
_atom_site_label
_atom_site_type_symbol
_atom_site_fract_x
_atom_site_fract_y
_atom_site_fract_z
Na1 Na 0.2460 0.0000 0.0000
Na2 Na 0.2467 0.0000 0.7991
Na3 Na 0.2483 0.0000 0.1999
Na4 Na 0.2477 0.0000 0.6006
Na5 Na 0.2498 0.0000 0.3994
B1 B 0.0000 0.0000 0.0728
B2 B 0.0000 0.0000 0.2662
B3 B 0.0000 0.0000 0.4601
B4 B 0.0000 0.0000 0.5324
B5 B 0.0000 0.0000 0.6693
B6 B 0.0000 0.0000 0.8631
B7 B 0.5000 0.0000 0.1359
B8 B 0.5000 0.0000 0.3227
B9 B 0.5000 0.0000 0.4728
B10 B 0.5000 0.0000 0.5417
B11 B 0.5000 0.0000 0.7298
B12 B 0.5000 0.0000 0.8650
B13 B 0.5000 0.0000 0.9312
C1 C 0.0000 0.0000 0.1370
C2 C 0.0000 0.0000 0.3313
C3 C 0.0000 0.0000 0.7341
C4 C 0.0000 0.0000 0.9286
C5 C 0.5000 0.0000 0.0721
C6 C 0.5000 0.0000 0.2615
C7 C 0.5000 0.0000 0.6667
```

Summary:
Its size of the total moment is 0.36 Bohr magnetons per cell. Its energy relative to the lowest polymorph listed for this composition is 0.15 eV per formula unit. As for the energy of formation: 0.09 eV/atom. The calculated total energy is -5.395 eV per atom.

Record 7
Density functional theory data (GGA-PBE) for ZnIrRu2 after structural relaxation.

The structure in CIF format:
```
data_ZnIrRu2
_chemical_formula_sum 'Zn2 Ir2 Ru4'
_cell_length_a 8.9732
_cell_length_b 2.7222
_cell_length_c 4.6922
_cell_angle_alpha 90.00
_cell_angle_beta 99.30
_cell_angle_gamma 90.00
_space_group_name_H-M_alt 'C 1 m 1'
_space_group_IT_number 8
loop_
_space_group_symop_operation_xyz
'x,y,z'
'x,-y,z'
'x+1/2,y+1/2,z'
'x+1/2,-y+1/2,z'
loop_
_atom_site_label
_atom_site_type_symbol
_atom_site_fract_x
_atom_site_fract_y
_atom_site_fract_z
Zn1 Zn 0.0000 0.0000 0.0000
Ir1 Ir 0.2470 0.0000 0.7712
Ru1 Ru 0.0042 0.5000 0.4923
Ru2 Ru 0.2575 0.5000 0.2767
```

Summary:
Its size of the total moment is 0.00 Bohr magnetons per cell. As for the energy of formation: 0.03 eV/atom. The calculated total energy is -7.137 eV per atom.